KInNi meta-GGA SCAN single point on PBEsol structure; formation enthalpy at 0 K = 0.129 eV per atom; E = -19.1670 eV/atom; M_tot = 0.000 μB/atom
1.0
3.136 0.000 0.000
0.000 3.957 0.000
-1.568 -1.979 6.081
In K Ni
1 1 1
direct
0.932 0.932 0.864
0.663 0.663 0.327
0.405 0.405 0.810

***

KInO2 meta-GGA SCAN single point on PBEsol structure; E = -15.2371 eV/atom; uncorrected formation energy = -1693 meV per atom; M_tot = 0.000 μB/atom
1.0
5.801 0.043 0.062
-2.739 5.114 -0.062
-2.739 -1.861 4.764
K O In
2 4 2
direct
0.500 0.250 0.750
0.000 0.500 0.500
0.080 0.705 0.125
0.920 0.045 0.625
0.580 0.875 0.955
0.420 0.375 0.295
0.500 0.750 0.250
0.000 0.000 0.000

***

K3InP2O8 meta-GGA SCAN single point on PBEsol structure; E = -11.6400 eV/atom; uncorrected formation energy = -2424 meV per atom; M_tot = 0.005 μB/atom
1.0
-2.415 -7.332 5.821
7.913 -5.257 1.799
1.821 5.761 7.649
K In P O
12 4 8 32
direct
0.632 0.368 0.750
0.368 0.632 0.250
0.371 0.111 0.690
0.889 0.629 0.810
0.629 0.889 0.310
0.111 0.371 0.190
0.104 0.896 0.750
0.896 0.104 0.250
0.310 0.513 0.899
0.487 0.690 0.601
0.690 0.487 0.101
0.513 0.310 0.399
0.732 0.015 0.920
0.985 0.268 0.580
0.268 0.985 0.080
0.015 0.732 0.420
0.205 0.493 0.566
0.507 0.795 0.934
0.795 0.507 0.434
0.493 0.205 0.066
0.234 0.957 0.425
0.043 0.766 0.075
0.766 0.043 0.575
0.957 0.234 0.925
0.093 0.637 0.625
0.363 0.907 0.875
0.907 0.363 0.375
0.637 0.093 0.125
0.189 0.027 0.283
0.973 0.811 0.217
0.811 0.973 0.717
0.027 0.189 0.783
0.361 0.470 0.620
0.530 0.639 0.880
0.639 0.530 0.380
0.470 0.361 0.120
0.160 0.359 0.607
0.641 0.840 0.893
0.840 0.641 0.393
0.359 0.160 0.107
0.397 0.921 0.457
0.079 0.603 0.043
0.603 0.079 0.543
0.921 0.397 0.957
0.194 0.514 0.406
0.486 0.806 0.094
0.806 0.486 0.594
0.514 0.194 0.906
0.199 0.810 0.436
0.190 0.801 0.064
0.801 0.190 0.564
0.810 0.199 0.936
0.142 0.064 0.535
0.936 0.858 0.965
0.858 0.936 0.465
0.064 0.142 0.035